1.
Li2PmSbN: relaxed, PBE-GGA.

Summary:
VASP energy ... -4.98 eV/atom
Formation energy (no corrections) ... -0.775 eV/atom

abc: 7.089 7.089 7.389
angles: 90.00 90.00 151.74
Positions (direct):
Li 0.141 0.859 0.546
Li 0.141 0.859 0.954
Li 0.859 0.141 0.046
Li 0.859 0.141 0.454
Pm 0.473 0.527 0.750
Pm 0.527 0.473 0.250
Sb 0.252 0.748 0.250
Sb 0.748 0.252 0.750
N 0.000 0.000 0.000
N 0.000 0.000 0.500

---

2.
Li2AlRe: relaxed, PBE-GGA.

Summary:
VASP energy ... -4.95 eV/atom
Calculated formation energy ... 0.050 eV/atom

abc: 2.641 4.776 4.645
angles: 90.00 92.95 90.00
Positions (direct):
Li 0.211 0.000 0.228
Li 0.789 0.000 0.772
Al 0.000 0.500 0.500
Re 0.500 0.500 0.000

---

3.
Pr4RhCCl2: relaxed, PBE-GGA.

Summary:
VASP energy ... -5.91 eV/atom
Formation energy (no corrections) ... -0.986 eV/atom

abc: 7.147 3.937 7.550
angles: 90.00 106.31 90.00
Positions (direct):
Pr 0.218 0.000 0.193
Pr 0.237 0.500 0.797
Pr 0.763 0.500 0.203
Pr 0.782 0.000 0.807
Rh 0.500 0.000 0.000
C 0.000 0.500 0.000
Cl 0.000 0.000 0.500
Cl 0.500 0.500 0.500

---

4.
MgIn2GeO6: relaxed, PBE-GGA.

Summary:
VASP energy ... -5.95 eV/atom
Formation energy (no corrections) ... -1.810 eV/atom

abc: 5.601 5.601 5.601
angles: 56.69 56.69 56.69
Positions (direct):
Mg 0.000 0.000 0.000
In 0.218 0.218 0.218
In 0.721 0.721 0.721
Ge 0.509 0.509 0.509
O 0.156 0.392 0.771
O 0.301 0.871 0.627
O 0.392 0.771 0.156
O 0.627 0.301 0.871
O 0.771 0.156 0.392
O 0.871 0.627 0.301

---

> The lowest VASP energy belongs to which entry?

MgIn2GeO6

---

> Which of these has the lowest VASP energy?

MgIn2GeO6

---

Repeat the first record exactly.
Li2PmSbN: relaxed, PBE-GGA.

Summary:
VASP energy ... -4.98 eV/atom
Formation energy (no corrections) ... -0.775 eV/atom

abc: 7.089 7.089 7.389
angles: 90.00 90.00 151.74
Positions (direct):
Li 0.141 0.859 0.546
Li 0.141 0.859 0.954
Li 0.859 0.141 0.046
Li 0.859 0.141 0.454
Pm 0.473 0.527 0.750
Pm 0.527 0.473 0.250
Sb 0.252 0.748 0.250
Sb 0.748 0.252 0.750
N 0.000 0.000 0.000
N 0.000 0.000 0.500

---

> What is the formula in the first record?

Li2PmSbN